# AlMo2Os

A relaxed AlMo2Os crystal (PBE-GGA, Alexandria).

abc: 5.1292 5.1292 5.1292
angles: 144.55 128.88 63.75
Fractional positions:
Al 0.0000 0.0000 0.0000
Mo 0.2605 0.7605 0.5000
Mo 0.5014 0.5014 0.0000
Os 0.7520 0.2520 0.5000

Output
DFT formation energy   -0.0901 eV per atom

# AlMoOs2

A relaxed AlMoOs2 crystal (PBE-GGA, Alexandria).

abc: 4.5664 4.5664 4.8844
angles: 97.43 97.43 35.81
Fractional positions:
Al 0.0000 0.0000 0.0000
Mo 0.5000 0.5000 0.5000
Os 0.2515 0.2515 0.7613
Os 0.7485 0.7485 0.2387

Output
DFT formation energy   -0.0013 eV per atom

# AlMo2Os

A relaxed AlMo2Os crystal (PBE-GGA, Alexandria).

abc: 5.0436 5.0436 2.7717
angles: 97.39 97.39 117.80
Fractional positions:
Al 0.0000 0.0000 0.0000
Mo 0.0000 0.5000 0.5000
Mo 0.5000 0.0000 0.5000
Os 0.5000 0.5000 0.0000

Output
DFT formation energy   -0.0373 eV per atom

Q: Look up the DFT formation energy of the first one.
A: -0.0901 eV per atom